Below is a relaxed structure of Dy2HoTl2Zn3Cd, with properties calculated at the PBE level.

a = 4.5407 Å, b = 12.5005 Å, c = 7.2378 Å
α = 90.00°, β = 90.00°, γ = 90.00°
Space group Amm2 (No. 38)
One atom of each set of equivalent atoms:
Dy: 0.0000 0.2151 0.0000
Ho: 0.0000 0.0000 0.3542
Tl: 0.5000 0.1663 0.2848
Zn: 0.5000 0.0000 0.0144
Zn: 0.5000 0.1154 0.6694
Cd: 0.0000 0.0000 0.7834

Theoretical density = 9.76 g cm⁻³
V = 22.82 A^3/atom
Crystal system = orthorhombic
Total DFT energy (no corrections) = -2.88 eV/atom
Total magnetic moment = 0.0 Bohr magnetons per cell